LaPBr2: relaxed, GGA-PBE.

a b c (Å): 9.8782 9.8782 9.8782
angles (deg): 21.85 21.85 21.85
Last column: nearest neighbours and their distance in Å.
Fractional coordinates of all 4 atoms:
La  0.0000  0.0000  0.0000  6 Br 3.05
P  0.5000  0.5000  0.5000  2 Br 2.66
Br  0.4079  0.4079  0.4079  1 P 2.66
Br  0.5921  0.5921  0.5921  1 P 2.66

Computed properties:
As for the energy relative to the lowest polymorph listed for this composition: 794.1 meV/atom. The total energy is -3.86 eV/atom. For the formation energy without anion corrections, the calculation gives -1.77 eV/f.u.